No. 1
Rb2HfMnI6 | PBE | optimized geometry

a = 8.2321 Å, b = 8.2321 Å, c = 8.2312 Å
α = 60.00°, β = 60.00°, γ = 90.00°
Each line ends with the local moment (μB).
Atoms (fractional coordinates):
I: 0.2503 0.2503 0.4995  0.01
I: 0.7498 0.2502 0.0000  0.01
I: 0.2502 0.2502 0.0000  0.01
I: 0.7497 0.7497 0.5005  0.01
I: 0.7498 0.7498 0.0000  0.01
I: 0.2502 0.7498 0.0000  0.01
Rb: 0.7500 0.2500 0.5000  0.00
Rb: 0.2500 0.7500 0.5000  0.00
Mn: 0.5000 0.5000 0.0000  3.96
Hf: 0.0000 0.0000 0.0000  -0.79

The density of states at the Fermi level is 0.50 states/eV per atom. The value obtained for the raw formation energy is -7.67 eV per formula unit. The calculation puts the theoretical density at 4909 kg/m³. The total moment is 3.042 μB per cell.

***

No. 2
HfMnSbI2 | PBE | optimized geometry

a = 5.6168 Å, b = 5.6168 Å, c = 5.7131 Å
α = 90.00°, β = 90.00°, γ = 90.00°
Each line ends with the local moment (μB).
Atoms (fractional coordinates):
Sb: 0.0000 0.0000 0.5000  -0.02
I: 0.0000 0.5000 0.0000  0.02
I: 0.5000 0.0000 0.0000  0.02
Hf: 0.0000 0.0000 0.0000  0.15
Mn: 0.5000 0.5000 0.5000  4.65

The density of states at the Fermi level is 0.74 states/eV per atom. The value obtained for the raw formation energy is 1.97 eV per formula unit. The calculation puts the theoretical density at 5611 kg/m³. The total moment is 5.559 μB per cell.

***

No. 3
HfMnSi2I | PBE | optimized geometry

a = 4.3942 Å, b = 5.1923 Å, c = 4.3942 Å
α = 90.00°, β = 90.00°, γ = 90.00°
Atoms (fractional coordinates):
Si: 0.0000 0.0000 0.5000
Si: 0.5000 0.0000 0.0000
I: 0.5000 0.5000 0.5000
Mn: 0.0000 0.0000 0.0000
Hf: 0.0000 0.5000 0.0000

The density of states at the Fermi level is 0.63 states/eV per atom. The value obtained for the raw formation energy is 0.69 eV per formula unit. The calculation puts the theoretical density at 6898 kg/m³. The total moment is 0.000 μB per cell.

***

No. 4
HfMnSi2I | PBE | optimized geometry

a = 5.2412 Å, b = 5.2479 Å, c = 5.2412 Å
α = 90.00°, β = 90.00°, γ = 90.00°
Each line ends with the local moment (μB).
Atoms (fractional coordinates):
Si: 0.0000 0.0000 0.5000  -0.02
Si: 0.5000 0.0000 0.0000  -0.01
Mn: 0.5000 0.5000 0.5000  4.30
I: 0.0000 0.0000 0.0000  0.00
Hf: 0.0000 0.5000 0.0000  -0.28

The density of states at the Fermi level is 1.08 states/eV per atom. The value obtained for the raw formation energy is 9.04 eV per formula unit. The calculation puts the theoretical density at 4798 kg/m³. The total moment is 4.101 μB per cell.

***

Which formula does entry 4 have?
HfMnSi2I